Material: Tc3PbO
Method: DFT, PBE
State: optimized geometry

formation energy (no corrections)	0.33	eV/atom
energy above the most stable polymorph in this dataset	0	meV per atom
E_tot	-38.14	eV per cell

Lattice parameters (Å, degrees): 4.196 4.196 4.196 90.00 90.00 90.00
Element x y z (fractional)
Tc 0.000 0.000 0.500
Tc 0.000 0.500 0.000
Tc 0.500 0.000 0.000
Pb 0.500 0.500 0.500
O 0.000 0.000 0.000